--- w ---
This record from Alexandria describes a geometry-optimized Sr2BiTe structure. The functional is GGA-PBE.

The density of states at the Fermi level is 2.19 states/eV/f.u. As for the spin magnetization: 0.0 μB per formula unit. As for the space group: Cmcm.

abc: 4.837 26.404 4.742
angles: 90.00 90.00 90.00
Atoms (fractional coordinates):
Sr 0.000 0.063 0.250
Sr 0.000 0.314 0.250
Sr 0.000 0.686 0.750
Sr 0.000 0.937 0.750
Sr 0.500 0.186 0.750
Sr 0.500 0.437 0.750
Sr 0.500 0.563 0.250
Sr 0.500 0.814 0.250
Bi 0.000 0.451 0.250
Bi 0.000 0.549 0.750
Bi 0.500 0.049 0.750
Bi 0.500 0.951 0.250
Te 0.000 0.188 0.250
Te 0.000 0.812 0.750
Te 0.500 0.312 0.750
Te 0.500 0.688 0.250

=====

--- x ---
This record from Alexandria describes a geometry-optimized Sr2BiTe structure. The functional is GGA-PBE.

The density of states at the Fermi level is 1.13 states/eV/f.u. As for the spin magnetization: 0.0 μB per formula unit. As for the space group: P4/mmm.

abc: 4.024 4.024 8.616
angles: 90.00 90.00 90.00
Atoms (fractional coordinates):
Sr 0.000 0.000 0.235
Sr 0.000 0.000 0.765
Bi 0.500 0.500 0.500
Te 0.500 0.500 0.000

=====

What should be chosen as the most stable of them? Choose w.

=====

--- w ---
This record from Alexandria describes a geometry-optimized Sr2Bi2Te structure. The functional is GGA-PBE.

The density of states at the Fermi level is 0.41 states/eV/f.u. As for the spin magnetization: 0.0 μB per formula unit. As for the space group: P4/mbm.

abc: 8.763 8.763 4.772
angles: 90.00 90.00 90.00
Atoms (fractional coordinates):
Sr 0.179 0.321 0.000
Sr 0.321 0.821 0.000
Sr 0.679 0.179 0.000
Sr 0.821 0.679 0.000
Bi 0.123 0.623 0.500
Bi 0.377 0.123 0.500
Bi 0.623 0.877 0.500
Bi 0.877 0.377 0.500
Te 0.000 0.000 0.500
Te 0.500 0.500 0.500

=====

--- x ---
This record from Alexandria describes a geometry-optimized Sr2Bi2Te structure. The functional is GGA-PBE.

The density of states at the Fermi level is 5.83 states/eV/f.u. As for the spin magnetization: 0.0 μB per formula unit. As for the space group: I4/mmm.

abc: 6.533 6.533 9.430
angles: 90.00 90.00 90.00
Atoms (fractional coordinates):
Sr 0.000 0.500 0.250
Sr 0.000 0.500 0.750
Sr 0.500 0.000 0.250
Sr 0.500 0.000 0.750
Bi 0.000 0.000 0.163
Bi 0.000 0.000 0.837
Bi 0.500 0.500 0.337
Bi 0.500 0.500 0.663
Te 0.000 0.000 0.500
Te 0.500 0.500 0.000

=====

--- y ---
This record from Alexandria describes a geometry-optimized Sr2Bi2Te structure. The functional is GGA-PBE.

The density of states at the Fermi level is 2.71 states/eV/f.u. As for the spin magnetization: 0.0 μB per formula unit. As for the space group: P4/mbm.

abc: 8.736 8.736 5.059
angles: 90.00 90.00 90.00
Atoms (fractional coordinates):
Sr 0.175 0.325 0.000
Sr 0.325 0.825 0.000
Sr 0.675 0.175 0.000
Sr 0.825 0.675 0.000
Bi 0.119 0.619 0.500
Bi 0.381 0.119 0.500
Bi 0.619 0.881 0.500
Bi 0.881 0.381 0.500
Te 0.000 0.000 0.000
Te 0.500 0.500 0.000

=====

What should be chosen as the most stable of them? Choose y.

=====

--- w ---
This record from Alexandria describes a geometry-optimized SrBi2Te2 structure. The functional is GGA-PBE.

The density of states at the Fermi level is 1.68 states/eV/f.u. As for the spin magnetization: 0.0 μB per formula unit. As for the space group: P4/mbm.

abc: 8.908 8.908 4.404
angles: 90.00 90.00 90.00
Atoms (fractional coordinates):
Sr 0.000 0.000 0.000
Sr 0.500 0.500 0.000
Bi 0.185 0.315 0.500
Bi 0.315 0.815 0.500
Bi 0.685 0.185 0.500
Bi 0.815 0.685 0.500
Te 0.151 0.651 0.000
Te 0.349 0.151 0.000
Te 0.651 0.849 0.000
Te 0.849 0.349 0.000

=====

--- x ---
This record from Alexandria describes a geometry-optimized SrBi2Te2 structure. The functional is GGA-PBE.

The density of states at the Fermi level is 1.03 states/eV/f.u. As for the spin magnetization: 0.0 μB per formula unit. As for the space group: I4/mmm.

abc: 4.478 4.478 17.810
angles: 90.00 90.00 90.00
Atoms (fractional coordinates):
Sr 0.000 0.000 0.000
Sr 0.500 0.500 0.500
Bi 0.000 0.500 0.250
Bi 0.000 0.500 0.750
Bi 0.500 0.000 0.250
Bi 0.500 0.000 0.750
Te 0.000 0.000 0.411
Te 0.000 0.000 0.589
Te 0.500 0.500 0.089
Te 0.500 0.500 0.911

=====

What should be chosen as the most stable of them? Choose x.

=====

--- w ---
This record from Alexandria describes a geometry-optimized SrBi3Te structure. The functional is GGA-PBE.

The density of states at the Fermi level is 5.05 states/eV/f.u. As for the spin magnetization: 0.0 μB per formula unit. As for the space group: Pm-3m.

abc: 5.923 5.923 5.923
angles: 90.00 90.00 90.00
Atoms (fractional coordinates):
Sr 0.000 0.000 0.000
Bi 0.000 0.500 0.500
Bi 0.500 0.000 0.500
Bi 0.500 0.500 0.000
Te 0.500 0.500 0.500

=====

--- x ---
This record from Alexandria describes a geometry-optimized SrBi3Te structure. The functional is GGA-PBE.

The density of states at the Fermi level is 9.69 states/eV/f.u. As for the spin magnetization: 0.0 μB per formula unit. As for the space group: Pm-3m.

abc: 6.114 6.114 6.114
angles: 90.00 90.00 90.00
Atoms (fractional coordinates):
Sr 0.000 0.000 0.000
Bi 0.000 0.000 0.500
Bi 0.000 0.500 0.000
Bi 0.500 0.000 0.000
Te 0.500 0.500 0.500

=====

What should be chosen as the most stable of them? Choose w.